Density functional theory data (PBE with a Hubbard U) for an optimized crystal structure of YbCr2O2.

- space-group type = I4_1/amd (141)
- mass density (g/cm³) = 5.96
- energy (eV per atom) = -6.3947

extended XYZ file:
```
20
Lattice="-3.001 3.001 9.565 3.001 -3.001 9.565 3.001 3.001 -9.565" Properties=species:S:1:pos:R:3 pbc="T T T"
Cr 3.001 1.372 0.924
Cr 3.001 1.630 3.858
O 1.591 3.001 3.139
Yb 0.000 1.501 2.391
O 4.412 0.000 1.643
Cr 0.000 1.630 10.489
O 1.591 0.000 1.643
Cr 1.630 0.000 8.641
O 1.410 0.000 12.704
O 3.001 -1.410 7.922
Yb 0.000 4.502 2.391
Cr 0.000 1.372 13.423
O 0.000 1.410 6.426
Cr 1.372 0.000 5.706
O 3.001 1.591 -3.139
Yb -1.501 3.001 7.174
Cr 1.630 3.001 -3.858
Yb 1.501 3.001 7.174
O 3.001 1.410 7.922
Cr 1.372 3.001 -0.924
```